Computed, not measured: a relaxed Rb2Te crystal at the GGA-PBEsol level of DFT.

Geometry as CIF:
```
data_Rb2Te
_cell_length_a 5.4805
_cell_length_b 8.8944
_cell_length_c 10.9338
_cell_angle_alpha 90.00
_cell_angle_beta 90.00
_cell_angle_gamma 90.00
_space_group_name_H-M_alt 'P 1'
_space_group_IT_number 1
loop_
_space_group_symop_operation_xyz
'x,y,z'
loop_
_atom_site_label
_atom_site_fract_x
_atom_site_fract_y
_atom_site_fract_z
Rb1 0.2500 0.6495 0.9300
Te1 0.7500 0.7529 0.1176
Te2 0.2500 0.2471 0.8824
Rb2 0.7500 0.8505 0.4300
Rb3 0.2500 0.5310 0.3248
Rb4 0.7500 0.4690 0.6752
Rb5 0.7500 0.9690 0.8248
Rb6 0.2500 0.1495 0.5700
Rb7 0.7500 0.3505 0.0700
Te3 0.2500 0.7471 0.6176
Rb8 0.2500 0.0310 0.1752
Te4 0.7500 0.2529 0.3824
```

Results
* energy relative to the lowest polymorph listed for this composition: 9 meV per atom
* ΔE_f (raw): -0.969 eV per atom
* magnetization: 0.000 μB/atom
* DFT total energy: -8.48 eV per formula unit